(1)
This record from the Alexandria database describes crystalline Ba2BrN2 at its relaxed geometry. The functional is PBE.

## Properties
Its space group is I4/mmm. Its density of states at the Fermi level is 2.56 states/eV/cell.

Cell lengths 8.4504, 8.4504, 8.4504 Å; angles 151.91, 151.91, 40.14 degrees
Last column: nearest neighbours and their distance in Å.
Fractional positions:
Ba (0.1434, 0.1434, 0.0000)  4 N 2.66
Ba (0.8566, 0.8566, 0.0000)  4 N 2.66
Br (0.5000, 0.5000, 0.0000)  8 Ba 3.69, 4 Br 4.10
N (0.2500, 0.7500, 0.5000)  4 Ba 2.66, 4 N 2.90
N (0.7500, 0.2500, 0.5000)  4 Ba 2.66, 4 N 2.90

---

(2)
This record from the Alexandria database describes crystalline Ba2BrN2 at its relaxed geometry. The functional is PBE.

## Properties
Its space group is C2/c. Its density of states at the Fermi level is 5.67 states/eV/cell.

Cell lengths 8.3727, 8.3727, 7.3508 Å; angles 100.40, 100.40, 30.86 degrees
Last column: nearest neighbours and their distance in Å.
Fractional positions:
Ba (0.0577, 0.6417, 0.8497)  2 N 2.57-2.81
Ba (0.3583, 0.9423, 0.6503)  2 N 2.57-2.81
Ba (0.6417, 0.0577, 0.3497)  2 N 2.57-2.81
Ba (0.9423, 0.3583, 0.1503)  2 N 2.57-2.81
Br (0.2821, 0.7179, 0.2500)  6 Ba 3.44-3.50
Br (0.7179, 0.2821, 0.7500)  6 Ba 3.44-3.50
N (0.1302, 0.4142, 0.4757)  1 N 1.29
N (0.4142, 0.1302, 0.9757)  1 N 1.29
N (0.5858, 0.8698, 0.0243)  1 N 1.29
N (0.8698, 0.5858, 0.5243)  1 N 1.29

---

Energetically preferred structure: (2) | next structure: +894 meV per atom